This record from Alexandria describes crystalline NaAg4Cl6 at its relaxed geometry. The functional is PBE.

The structure in extended XYZ format:
```
11
Lattice="5.2444 0.0000 0.0000 -0.0042 5.2459 0.0000 -1.1538 -1.1081 10.1034" Properties=species:S:1:pos:R:3 pbc="T T T"
Na 0.0000 0.0000 0.0000
Ag -0.0659 -0.0520 6.4569
Ag 1.9279 3.9471 2.8478
Ag 2.4745 2.4875 7.3767
Ag 3.9414 1.9341 2.8462
Cl 0.0700 2.6060 0.9545
Cl -0.1924 -0.1895 3.9061
Cl -0.1524 2.5630 7.5424
Cl 2.6041 0.0738 0.9562
Cl 2.2609 2.2660 4.6009
Cl 2.5528 -0.1406 7.5477
```

Output
Formation energy from raw total energies ... -0.617 eV per atom
ρ ... 3.99 g/cm³
N(E_F) ... 6.47 states/eV per cell


This record from Alexandria describes crystalline NaAg5Cl8 at its relaxed geometry. The functional is PBE.

The structure in extended XYZ format:
```
14
Lattice="-4.8774 4.8774 3.7960 4.8774 -4.8774 3.7960 4.8774 4.8774 -3.7960" Properties=species:S:1:pos:R:3 pbc="T T T"
Na 0.0000 0.0000 0.0000
Ag 7.1955 2.5404 -0.8765
Ag 4.8774 0.0000 1.8980
Ag 2.5404 2.5593 0.8765
Ag -2.3181 2.3370 2.9195
Ag 2.3370 2.3181 4.6726
Cl 2.3827 4.2987 -1.0738
Cl -0.7548 2.4633 0.9386
Cl 5.4562 2.3827 1.0738
Cl 2.4947 0.5788 2.7223
Cl 2.4141 4.1226 2.8574
Cl 0.7548 7.2915 0.9386
Cl -0.5788 2.4947 4.8698
Cl -2.4141 5.6322 2.8574
```

Output
Formation energy from raw total energies ... -0.580 eV per atom
ρ ... 3.89 g/cm³
Relative energy among the computed polymorphs ... 0.000 eV/atom
N(E_F) ... 17.20 states/eV per cell